CaTeI2 | PBE | relaxed

Computed properties:
total magnetic moment	2.00	Bohr magnetons per cell
total DFT energy (no corrections)	-10.22	eV per formula unit
uncorrected formation energy	-1.98	eV/f.u.
theoretical density	5.0	g/cm³
space-group type	Fm-3m, No. 225
offset from the most stable computed form	176	meV per atom

a b c (Å): 5.811 5.811 5.811
angles (deg): 60.00 60.00 60.00
Site moments in Bohr magnetons follow the coordinates.
Fractional positions:
I  0.250  0.250  0.250  0.17
I  0.750  0.750  0.750  0.17
Ca  0.000  0.000  0.000  0.03
Te  0.500  0.500  0.500  0.77